Entry 1:
A plane-wave DFT calculation with PBE was carried out for a relaxed structure of ZrTc2PdCl.

Cell: 4.3903 4.5419 4.3903 Å, 90.00 90.00 90.00°
Last column: nearest neighbours and their distance in Å.
Fractional coordinates of all 5 atoms:
Zr 0.5000 0.5000 0.5000  4 Pd 3.10, 8 Tc 3.16
Tc 0.0000 0.0000 0.5000  2 Cl 2.20
Tc 0.5000 0.0000 0.0000  2 Cl 2.20
Pd 0.0000 0.5000 0.0000  2 Cl 2.27
Cl 0.0000 0.0000 0.0000  4 Tc 2.20, 2 Pd 2.27

Computed properties:
The calculation puts the magnetization at 0.00 μB per formula unit. For the total energy, the calculation gives -33.08 eV per formula unit. Its raw formation energy is 3.236 eV per formula unit.



Entry 2:
A plane-wave DFT calculation with PBE was carried out for a relaxed structure of TePd2Cl.

Cell: 6.6202 6.6202 6.3670 Å, 58.68 58.68 90.00°
Last column: nearest neighbours and their distance in Å.
Fractional coordinates of all 8 atoms:
Te 0.0000 0.0000 0.0000  4 Pd 2.57
Te 0.7500 0.2500 0.5000  4 Pd 2.57
Pd 0.6278 0.1250 0.2500  2 Te 2.57, 2 Cl 2.59
Pd 0.1222 0.6250 0.2500  2 Te 2.57, 2 Cl 2.59
Pd 0.3750 0.3722 0.7500  2 Te 2.57, 2 Cl 2.59
Pd 0.8750 0.8778 0.7500  2 Te 2.57, 2 Cl 2.59
Cl 0.5000 0.5000 0.0000  4 Pd 2.59
Cl 0.2500 0.7500 0.5000  4 Pd 2.59

Computed properties:
The calculation puts the magnetization at 0.00 μB per formula unit. For the total energy, the calculation gives -15.93 eV per formula unit. Its raw formation energy is -0.554 eV per formula unit.



Entry 3:
A plane-wave DFT calculation with PBE was carried out for a relaxed structure of Te2Pd2Cl.

Cell: 6.2001 6.8469 6.3505 Å, 85.93 84.21 63.91°
Last column: nearest neighbours and their distance in Å.
Fractional coordinates of all 10 atoms:
Te 0.4816 0.4411 0.2564  4 Pd 2.63-2.73
Te 0.8581 0.9647 0.8485  4 Pd 2.70-2.85, 1 Te 2.93
Te 0.1418 0.0353 0.1515  4 Pd 2.70-2.85, 1 Te 2.93
Te 0.5184 0.5589 0.7436  4 Pd 2.63-2.73
Pd 0.6230 0.7328 0.0506  1 Cl 2.46, 2 Te 2.63-2.72
Pd 0.8526 0.2419 0.4904  1 Cl 2.52, 3 Te 2.65-2.73
Pd 0.3770 0.2672 0.9494  1 Cl 2.46, 2 Te 2.63-2.72
Pd 0.1473 0.7581 0.5096  1 Cl 2.52, 3 Te 2.65-2.73
Cl 0.7667 0.7741 0.3837  2 Pd 2.46-2.52
Cl 0.2333 0.2259 0.6163  2 Pd 2.46-2.52

Computed properties:
The calculation puts the magnetization at 0.00 μB per formula unit. For the total energy, the calculation gives -19.99 eV per formula unit. Its raw formation energy is -1.474 eV per formula unit.



Entry 4:
A plane-wave DFT calculation with PBE was carried out for a relaxed structure of TePdCl6.

Cell: 5.7665 7.8049 7.7697 Å, 51.48 67.58 69.89°
Last column: nearest neighbours and their distance in Å.
Fractional coordinates of all 8 atoms:
Te 0.5000 0.5000 0.5000  6 Cl 2.47-2.67
Pd 0.0000 0.0000 0.0000  4 Cl 2.32-2.33
Cl 0.0953 0.3450 0.8360  1 Pd 2.32
Cl 0.8142 0.1274 0.7135  1 Pd 2.33
Cl 0.4857 0.3172 0.3362  1 Te 2.47
Cl 0.1858 0.8726 0.2865  1 Pd 2.33
Cl 0.9047 0.6550 0.1640  1 Pd 2.32
Cl 0.5143 0.6828 0.6638  1 Te 2.47

Computed properties:
The calculation puts the magnetization at 0.00 μB per formula unit. For the total energy, the calculation gives -23.11 eV per formula unit. Its raw formation energy is -3.694 eV per formula unit.



Entry 5:
A plane-wave DFT calculation with PBE was carried out for a relaxed structure of TePd2Cl.

Cell: 4.4405 4.4405 6.7861 Å, 70.90 70.90 60.00°
Last column: nearest neighbours and their distance in Å.
Fractional coordinates of all 4 atoms:
Te 0.5000 0.5000 0.5000  6 Pd 2.66
Pd 0.1289 0.1289 0.6133  1 Cl 2.43, 3 Te 2.66
Pd 0.8711 0.8711 0.3867  1 Cl 2.43, 3 Te 2.66
Cl 0.0000 0.0000 0.0000  2 Pd 2.43

Computed properties:
The calculation puts the magnetization at 0.00 μB per formula unit. For the total energy, the calculation gives -16.28 eV per formula unit. Its raw formation energy is -0.911 eV per formula unit.



Entry 6:
A plane-wave DFT calculation with PBE was carried out for a relaxed structure of TePd2Cl.

Cell: 4.7434 4.7434 4.7434 Å, 60.00 60.00 60.00°
Last column: nearest neighbours and their distance in Å.
Fractional coordinates of all 4 atoms:
Te 0.5000 0.5000 0.5000  8 Pd 2.90
Pd 0.2500 0.2500 0.2500  4 Cl 2.90, 4 Te 2.90
Pd 0.7500 0.7500 0.7500  4 Cl 2.90, 4 Te 2.90
Cl 0.0000 0.0000 0.0000  8 Pd 2.90

Computed properties:
The calculation puts the magnetization at 0.00 μB per formula unit. For the total energy, the calculation gives -15.27 eV per formula unit. Its raw formation energy is 0.107 eV per formula unit.



Entry 7:
A plane-wave DFT calculation with PBE was carried out for a relaxed structure of Te2PdCl10.

Cell: 7.8634 14.4851 16.2353 Å, 90.31 90.00 90.00°
Last column: nearest neighbours and their distance in Å.
Fractional coordinates of all 52 atoms:
Te 0.5680 0.7395 0.5470  3 Cl 2.34-2.37
Te 0.0680 0.7605 0.9530  3 Cl 2.34-2.37
Te 0.4320 0.2605 0.4530  3 Cl 2.34-2.37
Te 0.9320 0.2395 0.0470  3 Cl 2.34-2.37
Te 0.0953 0.0590 0.7906  3 Cl 2.34-2.38
Te 0.5953 0.4410 0.7094  3 Cl 2.34-2.38
Te 0.9047 0.9410 0.2094  3 Cl 2.34-2.38
Te 0.4047 0.5590 0.2906  3 Cl 2.34-2.38
Pd 0.2290 0.0147 0.0196  4 Cl 2.32-2.33
Pd 0.7290 0.4853 0.4804  4 Cl 2.32-2.33
Pd 0.7710 0.9853 0.9804  4 Cl 2.32-2.33
Pd 0.2710 0.5147 0.5196  4 Cl 2.32-2.33
Cl 0.5669 0.5039 0.1765  1 Te 2.38
Cl 0.0669 0.9961 0.3235  1 Te 2.38
Cl 0.4331 0.4961 0.8235  1 Te 2.38
Cl 0.9331 0.0039 0.6765  1 Te 2.38
Cl 0.1417 0.5399 0.2211  1 Te 2.37
Cl 0.6417 0.9601 0.2789  1 Te 2.37
Cl 0.8583 0.4601 0.7789  1 Te 2.37
Cl 0.3583 0.0399 0.7211  1 Te 2.37
Cl 0.4329 0.7133 0.2509  1 Te 2.34
Cl 0.9329 0.7867 0.2491  1 Te 2.34
Cl 0.5671 0.2867 0.7491  1 Te 2.34
Cl 0.0671 0.2133 0.7509  1 Te 2.34
Cl 0.2012 0.8944 0.1127  1 Pd 2.32
Cl 0.7012 0.6056 0.3873  1 Pd 2.32
Cl 0.7988 0.1056 0.8873  1 Pd 2.32
Cl 0.2988 0.3944 0.6127  1 Pd 2.32
Cl 0.2639 0.1354 0.9274  1 Pd 2.32
Cl 0.7639 0.3646 0.5726  1 Pd 2.32
Cl 0.7361 0.8646 0.0726  1 Pd 2.32
Cl 0.2361 0.6354 0.4274  1 Pd 2.32
Cl 0.1724 0.1206 0.1238  1 Pd 2.32
Cl 0.6724 0.3794 0.3762  1 Pd 2.32
Cl 0.8276 0.8794 0.8762  1 Pd 2.32
Cl 0.3276 0.6206 0.6238  1 Pd 2.32
Cl 0.2931 0.9096 0.9152  1 Pd 2.33
Cl 0.7931 0.5904 0.5848  1 Pd 2.33
Cl 0.7069 0.0904 0.0848  1 Pd 2.33
Cl 0.2069 0.4096 0.4152  1 Pd 2.33
Cl 0.1337 0.3591 0.0265  1 Te 2.37
Cl 0.6337 0.1409 0.4735  1 Te 2.37
Cl 0.8663 0.6409 0.9735  1 Te 2.37
Cl 0.3663 0.8591 0.5265  1 Te 2.37
Cl 0.7013 0.3289 0.9971  1 Te 2.37
Cl 0.2013 0.1711 0.5029  1 Te 2.37
Cl 0.2987 0.6711 0.0029  1 Te 2.37
Cl 0.7987 0.8289 0.4971  1 Te 2.37
Cl 0.8800 0.2821 0.1841  1 Te 2.34
Cl 0.3800 0.2179 0.3159  1 Te 2.34
Cl 0.1200 0.7179 0.8159  1 Te 2.34
Cl 0.6200 0.7821 0.6841  1 Te 2.34

Computed properties:
The calculation puts the magnetization at 0.08 μB per formula unit. For the total energy, the calculation gives -37.36 eV per formula unit. Its raw formation energy is -7.422 eV per formula unit.



Entry 8:
A plane-wave DFT calculation with PBE was carried out for a relaxed structure of TePd2Cl.

Cell: 3.6173 7.2607 7.2250 Å, 108.09 104.48 90.02°
Last column: nearest neighbours and their distance in Å.
Fractional coordinates of all 8 atoms:
Te 0.5612 0.8646 0.4828  6 Pd 2.64-2.94
Te 0.1487 0.4730 0.6590  6 Pd 2.64-2.94
Pd 0.2034 0.8988 0.7676  2 Cl 2.56, 2 Te 2.64
Pd 0.0174 0.1135 0.3953  1 Cl 2.51, 3 Te 2.67-2.76
Pd 0.5065 0.4387 0.3742  2 Cl 2.56, 2 Te 2.64
Pd 0.6924 0.2240 0.7464  1 Cl 2.51, 3 Te 2.67-2.76
Cl 0.8342 0.9109 0.0296  3 Pd 2.51-2.56
Cl 0.8758 0.4264 0.1121  3 Pd 2.51-2.56

Computed properties:
The calculation puts the magnetization at 0.00 μB per formula unit. For the total energy, the calculation gives -16.79 eV per formula unit. Its raw formation energy is -1.413 eV per formula unit.



Entry 9:
A plane-wave DFT calculation with PBE was carried out for a relaxed structure of Te2Pd2Cl.

Cell: 4.0355 4.0355 7.7691 Å, 74.95 74.95 90.00°
Last column: nearest neighbours and their distance in Å.
Fractional coordinates of all 5 atoms:
Te 0.3724 0.3724 0.2552  4 Pd 2.68
Te 0.6276 0.6276 0.7448  4 Pd 2.68
Pd 0.7500 0.2500 0.5000  4 Te 2.68, 4 Pd 2.85
Pd 0.2500 0.7500 0.5000  4 Te 2.68, 4 Pd 2.85
Cl 0.0000 0.0000 0.0000  8 Te 3.40

Computed properties:
The calculation puts the magnetization at 0.00 μB per formula unit. For the total energy, the calculation gives -19.86 eV per formula unit. Its raw formation energy is -1.347 eV per formula unit.



Entry 10:
A plane-wave DFT calculation with PBE was carried out for a relaxed structure of Te4Pd2Cl.

Cell: 7.2494 7.2490 8.5830 Å, 112.35 112.31 95.77°
Last column: nearest neighbours and their distance in Å.
Fractional coordinates of all 14 atoms:
Te 0.9410 0.2037 0.3580  3 Pd 2.72-2.78
Te 0.3090 0.5464 0.1422  3 Pd 2.72-2.78
Te 0.8457 0.5831 0.6421  3 Pd 2.72-2.78
Te 0.7964 0.0588 0.6420  3 Pd 2.72-2.78
Te 0.4168 0.1545 0.3580  3 Pd 2.72-2.78
Te 0.4042 0.1668 0.8578  3 Pd 2.72-2.78
Te 0.4536 0.6911 0.8581  3 Pd 2.72-2.78
Te 0.8330 0.5955 0.1419  3 Pd 2.72-2.78
Pd 0.6250 0.3750 0.7499  6 Te 2.72-2.78
Pd 0.6250 0.8751 0.2501  6 Te 2.72-2.78
Pd 0.6249 0.3749 0.2499  6 Te 2.72-2.78
Pd 0.1250 0.3750 0.7501  6 Te 2.72-2.78
Cl 0.2499 0.7499 0.5000  4 Te 3.08
Cl 0.0003 0.0003 0.0000  4 Te 3.08

Computed properties:
The calculation puts the magnetization at 0.00 μB per formula unit. For the total energy, the calculation gives -26.80 eV per formula unit. Its raw formation energy is -2.000 eV per formula unit.